# 1
## Ba3Mo (PBE)

Data for a geometry-optimized Ba3Mo structure.

Cell lengths 4.369, 4.369, 12.082 Å; angles 90.00, 90.00, 120.00 degrees
Site moments in Bohr magnetons follow the coordinates.
Positions (direct):
Ba 0.000 0.000 0.564  0.02
Ba 0.667 0.333 0.250  0.00
Mo 0.667 0.333 0.750  2.95
Ba 0.000 0.000 0.936  0.02

energy relative to the lowest polymorph listed for this composition: 161 meV/atom
energy relative to the elements: 0.93 eV/atom

=====

# 2
## KPrMg4 (PBE)

Data for a geometry-optimized KPrMg4 structure.

Cell lengths 6.330, 6.330, 6.330 Å; angles 60.00, 60.00, 60.00 degrees
Positions (direct):
K 0.250 0.250 0.250
Mg 0.626 0.626 0.626
Mg 0.626 0.626 0.121
Mg 0.626 0.121 0.626
Mg 0.121 0.626 0.626
Pr 0.000 0.000 0.000

energy relative to the elements: 0.09 eV/atom

=====

Repeat the second record exactly.
## KPrMg4 (PBE)

Data for a geometry-optimized KPrMg4 structure.

Cell lengths 6.330, 6.330, 6.330 Å; angles 60.00, 60.00, 60.00 degrees
Positions (direct):
K 0.250 0.250 0.250
Mg 0.626 0.626 0.626
Mg 0.626 0.626 0.121
Mg 0.626 0.121 0.626
Mg 0.121 0.626 0.626
Pr 0.000 0.000 0.000

energy relative to the elements: 0.09 eV/atom

=====

Copy entry 2 word for word.
## KPrMg4 (PBE)

Data for a geometry-optimized KPrMg4 structure.

Cell lengths 6.330, 6.330, 6.330 Å; angles 60.00, 60.00, 60.00 degrees
Positions (direct):
K 0.250 0.250 0.250
Mg 0.626 0.626 0.626
Mg 0.626 0.626 0.121
Mg 0.626 0.121 0.626
Mg 0.121 0.626 0.626
Pr 0.000 0.000 0.000

energy relative to the elements: 0.09 eV/atom

=====

Question: What is the formula in the first record?
Answer: Ba3Mo

=====

Question: Among the records above, which one has the highest energy relative to the elements?
Answer: Ba3Mo